# NbAl2SiPb

An optimized crystal structure of NbAl2SiPb (PBE-GGA, Alexandria via LeMat-Bulk).

a = 4.6536 Å, b = 4.6536 Å, c = 5.4858 Å
α = 90.00°, β = 90.00°, γ = 90.00°
Space group P4/mmm (No. 123)
One atom of each set of equivalent atoms:
1 Nb 0.0000 0.0000 0.0000 (multiplicity 1)
2 Al 0.0000 0.5000 0.5000 (multiplicity 2)
3 Si 0.5000 0.5000 0.5000 (multiplicity 1)
4 Pb 0.5000 0.5000 0.0000 (multiplicity 1)

## Properties
Volume: 119 Å³ per cell
DFT total energy: -0.1583 hartree per atom
Magnetic moment: 0.455 μB/atom


# Tl2SiGeS4

An optimized crystal structure of Tl2SiGeS4 (PBE-GGA, Alexandria via LeMat-Bulk).

a = 8.9398 Å, b = 8.6215 Å, c = 6.0016 Å
α = 90.00°, β = 90.00°, γ = 90.00°
Space group Pmn2_1 (No. 31)
One atom of each set of equivalent atoms:
1 Tl 0.2280 0.1575 0.0000 (multiplicity 4)
2 Si 0.0000 0.3944 0.5638 (multiplicity 2)
3 Ge 0.0000 0.6743 0.0326 (multiplicity 2)
4 S 0.0000 0.4116 0.9275 (multiplicity 2)
5 S 0.0000 0.6324 0.4391 (multiplicity 2)
6 S 0.1957 0.2684 0.4817 (multiplicity 4)

## Properties
Volume: 463 Å³ per cell
DFT total energy: -0.1601 hartree per atom
Magnetic moment: 0.000 μB/atom


# MgTeS

An optimized crystal structure of MgTeS (PBE-GGA, Alexandria via LeMat-Bulk).

a = 4.1016 Å, b = 4.1174 Å, c = 5.5673 Å
α = 68.96°, β = 69.28°, γ = 67.33°
Space group P1 (No. 1)
One atom of each set of equivalent atoms:
1 Mg 0.0000 0.0000 0.0000 (multiplicity 1)
2 Te 0.4731 0.4779 0.6845 (multiplicity 1)
3 S 0.5763 0.5714 0.1969 (multiplicity 1)

## Properties
Volume: 78 Å³ per cell
DFT total energy: -0.1306 hartree per atom
Magnetic moment: 0.000 μB/atom


# TlGaHg

An optimized crystal structure of TlGaHg (PBE-GGA, Alexandria via LeMat-Bulk).

a = 3.5318 Å, b = 3.5318 Å, c = 12.7532 Å
α = 90.00°, β = 90.00°, γ = 90.00°
Space group P4/nmm (No. 129, origin choice 2)
One atom of each set of equivalent atoms:
1 Tl 0.2500 0.2500 0.2218 (multiplicity 2)
2 Ga 0.2500 0.2500 0.9506 (multiplicity 2)
3 Hg 0.2500 0.2500 0.5851 (multiplicity 2)

## Properties
Volume: 159 Å³ per cell
Energy of formation: 0.1 eV per formula unit
Magnetic moment: 0.000 μB/atom


# YMg2Cd

An optimized crystal structure of YMg2Cd (PBE-GGA, Alexandria via LeMat-Bulk).

a = 5.1320 Å, b = 5.1320 Å, c = 7.2172 Å
α = 90.00°, β = 90.00°, γ = 90.00°
Space group I-4m2 (No. 119)
One atom of each set of equivalent atoms:
1 Y 0.0000 0.0000 0.0000 (multiplicity 2)
2 Mg 0.0000 0.0000 0.5000 (multiplicity 2)
3 Mg 0.0000 0.5000 0.2500 (multiplicity 2)
4 Cd 0.0000 0.5000 0.7500 (multiplicity 2)

## Properties
Volume: 190 Å³ per cell
Energy of formation: -0.8 eV per formula unit
Magnetic moment: 0.000 μB/atom


# Dy3YRh

An optimized crystal structure of Dy3YRh (PBE-GGA, Alexandria via LeMat-Bulk).

a = 5.4037 Å, b = 5.4037 Å, c = 5.4037 Å
α = 90.00°, β = 90.00°, γ = 90.00°
Space group Pm-3m (No. 221)
One atom of each set of equivalent atoms:
1 Dy 0.0000 0.0000 0.5000 (multiplicity 3)
2 Y 0.5000 0.5000 0.5000 (multiplicity 1)
3 Rh 0.0000 0.0000 0.0000 (multiplicity 1)

## Properties
Volume: 158 Å³ per cell
Energy of formation: -1.1 eV per formula unit
Magnetic moment: 0.001 μB/atom


# Sc4TaBe

An optimized crystal structure of Sc4TaBe (PBE-GGA, Alexandria via LeMat-Bulk).

a = 7.9472 Å, b = 7.9472 Å, c = 7.9472 Å
α = 90.00°, β = 90.00°, γ = 90.00°
Space group F-43m (No. 216)
One atom of each set of equivalent atoms:
1 Sc 0.1239 0.1239 0.1239 (multiplicity 16)
2 Ta 0.2500 0.2500 0.7500 (multiplicity 4)
3 Be 0.0000 0.0000 0.5000 (multiplicity 4)

## Properties
Volume: 502 Å³ per cell
Energy of formation: 4.3 eV per formula unit
Magnetic moment: 0.189 μB/atom


# UBe4V

An optimized crystal structure of UBe4V (PBE-GGA, Alexandria via LeMat-Bulk).

a = 6.5964 Å, b = 6.5964 Å, c = 6.5964 Å
α = 90.00°, β = 90.00°, γ = 90.00°
Space group F-43m (No. 216)
One atom of each set of equivalent atoms:
1 U 0.0000 0.0000 0.0000 (multiplicity 4)
2 Be 0.1233 0.1233 0.6233 (multiplicity 16)
3 V 0.2500 0.2500 0.2500 (multiplicity 4)

## Properties
Volume: 287 Å³ per cell
Energy of formation: 1.1 eV per formula unit
Magnetic moment: 0.360 μB/atom